A geometry-optimized Tl5Pb2Au2 structure, computed with PBE.

Values from the calculation:
- E (eV per formula unit) = -25.680
- energy of formation (eV/f.u.) = 0.122
- D(E_F) (states/eV/f.u.) = 3.73
- calculated density (g cm⁻³) = 11.55

```
18
Lattice="-7.850 5.021 3.339 7.850 -5.021 3.339 7.850 5.021 -3.339" Properties=species:S:1:pos:R:3 pbc="T T T"
Tl 0.832 2.022 0.000
Tl 7.018 2.022 0.000
Tl 3.925 3.527 0.780
Tl -2.335 3.512 2.102
Tl 10.185 3.512 2.102
Tl 3.925 1.494 4.119
Tl 0.832 2.998 3.339
Tl 7.018 2.998 3.339
Tl 2.335 6.529 2.102
Tl -2.335 1.508 5.441
Pb 1.826 -0.327 2.152
Pb 6.024 -0.327 2.152
Pb 6.024 5.348 -1.187
Pb 9.675 0.327 2.152
Au 3.925 0.644 0.287
Au 0.000 5.021 1.158
Au 0.000 0.000 4.497
Au 3.925 4.377 3.627
```

A geometry-optimized Rb3PtPb4 structure, computed with PBE.

Values from the calculation:
- E (eV per formula unit) = -25.502
- energy of formation (eV/f.u.) = -1.725
- D(E_F) (states/eV/f.u.) = 2.23
- calculated density (g cm⁻³) = 6.49

```
16
Lattice="7.225 0.000 0.000 0.000 13.916 0.000 0.000 0.000 6.516" Properties=species:S:1:pos:R:3 pbc="T T T"
Rb 1.806 0.042 1.105
Rb 1.806 3.479 3.477
Rb 1.806 6.916 1.105
Rb 5.419 7.001 5.410
Rb 5.419 10.437 3.039
Rb 5.419 13.874 5.410
Pt 1.806 10.437 2.133
Pt 5.419 3.479 4.383
Pb 0.127 10.437 6.370
Pb 1.806 8.723 4.315
Pb 1.806 12.151 4.315
Pb 3.486 10.437 6.370
Pb 3.739 3.479 0.145
Pb 5.419 1.765 2.201
Pb 5.419 5.193 2.201
Pb 7.099 3.479 0.145
```

A geometry-optimized Nd2HfI structure, computed with PBE.

Values from the calculation:
- E (eV per formula unit) = -20.450
- D(E_F) (states/eV/f.u.) = 5.04
- calculated density (g cm⁻³) = 7.89

```
4
Lattice="1.776 1.025 11.447 -1.776 1.025 11.447 0.000 -2.050 11.447" Properties=species:S:1:pos:R:3 pbc="T T T"
Nd 0.000 0.000 3.121
Nd 0.000 0.000 31.219
Hf 0.000 0.000 0.000
I 0.000 0.000 17.170
```

A geometry-optimized Zr2ScFe structure, computed with PBE.

Values from the calculation:
- energy above the lowest structure with this stoichiometry (eV/atom) = 0.276
- E (eV per formula unit) = -31.183
- energy of formation (eV/f.u.) = 0.708
- D(E_F) (states/eV/f.u.) = 3.89
- calculated density (g cm⁻³) = 5.68

```
8
Lattice="-3.785 3.785 2.889 3.785 -3.785 2.889 3.785 3.785 -2.889" Properties=species:S:1:pos:R:3 pbc="T T T"
Zr 5.678 1.410 -0.722
Zr 1.410 1.893 0.722
Zr -1.893 2.375 2.167
Zr 2.375 1.893 3.612
Sc 3.785 0.000 1.445
Sc 0.000 0.000 2.889
Fe 0.000 0.000 0.000
Fe 0.000 3.785 1.445
```

A geometry-optimized PrNdDyMg structure, computed with PBE.

Values from the calculation:
- energy above the lowest structure with this stoichiometry (eV/atom) = 0.054
- E (eV per formula unit) = -15.662
- energy of formation (eV/f.u.) = 0.082
- D(E_F) (states/eV/f.u.) = 4.75
- calculated density (g cm⁻³) = 6.22

```
4
Lattice="0.000 3.980 3.980 3.980 0.000 3.980 3.980 3.980 0.000" Properties=species:S:1:pos:R:3 pbc="T T T"
Pr 0.000 0.000 0.000
Nd 3.980 3.980 3.980
Dy 1.990 1.990 1.990
Mg 5.970 5.970 5.970
```

A geometry-optimized AcPrSm2Tl2 structure, computed with PBE.

Values from the calculation:
- E (eV per formula unit) = -24.514
- energy of formation (eV/f.u.) = -1.455
- D(E_F) (states/eV/f.u.) = 7.65
- calculated density (g cm⁻³) = 9.03

```
12
Lattice="5.268 0.000 0.000 0.000 10.531 0.000 0.000 0.000 7.142" Properties=species:S:1:pos:R:3 pbc="T T T"
Ac 0.000 0.502 0.000
Ac 0.000 10.029 3.571
Pr 2.634 2.055 5.237
Pr 2.634 8.476 1.666
Sm 0.000 3.370 2.779
Sm 0.000 7.161 6.350
Sm 2.634 4.792 0.768
Sm 2.634 5.739 4.339
Tl 0.000 3.958 6.054
Tl 0.000 6.573 2.483
Tl 2.634 1.547 1.949
Tl 2.634 8.984 5.520
```

A geometry-optimized PbAuO2 structure, computed with PBE.

Values from the calculation:
- E (eV per formula unit) = -19.306
- D(E_F) (states/eV/f.u.) = 0.72
- calculated density (g cm⁻³) = 9.66

```
8
Lattice="6.588 0.000 0.000 0.000 3.666 0.000 -2.384 0.000 6.208" Properties=species:S:1:pos:R:3 pbc="T T T"
Pb 0.000 0.000 0.000
Pb 3.294 1.833 0.000
Au -1.192 1.833 3.104
Au 2.102 0.000 3.104
O -1.408 1.833 5.121
O 1.967 0.000 1.086
O 2.238 0.000 5.122
O 5.613 1.833 1.087
```

A geometry-optimized Te3Br structure, computed with PBE.

Values from the calculation:
- energy above the lowest structure with this stoichiometry (eV/atom) = 0.299
- E (eV per formula unit) = -10.308
- D(E_F) (states/eV/f.u.) = 3.40
- calculated density (g cm⁻³) = 6.42

```
4
Lattice="-1.979 2.725 5.547 1.979 -2.725 5.547 1.979 2.725 -5.547" Properties=species:S:1:pos:R:3 pbc="T T T"
Te 0.000 0.000 0.000
Te 1.979 0.000 2.319
Te 0.000 2.725 3.228
Br 0.000 0.000 5.547
```

A geometry-optimized ZnInW2 structure, computed with PBE.

Values from the calculation:
- energy above the lowest structure with this stoichiometry (eV/atom) = 0.192
- E (eV per formula unit) = -27.784
- energy of formation (eV/f.u.) = 2.135
- D(E_F) (states/eV/f.u.) = 2.16
- calculated density (g cm⁻³) = 13.52

```
4
Lattice="1.686 -2.214 0.000 1.686 2.214 0.000 0.000 0.000 9.014" Properties=species:S:1:pos:R:3 pbc="T T T"
Zn 0.000 0.000 0.000
In 0.000 0.000 4.507
W 1.686 0.000 2.142
W 1.686 0.000 6.872
```

- Look up the calculated density of the seventh one.
  9.66 g cm⁻³